Entry 1:
First-principles (PBE-GGA) data for Te6Ir2Pd after structural relaxation, as listed in Alexandria.

a b c (Å): 5.4559 12.0746 12.0746
angles (deg): 120.00 90.00 90.00
Closest atoms and distances in Å follow each position.
Positions (direct):
Te (0.7507, 0.1135, 0.2269)  2 Ir 2.70, 1 Pd 2.74
Te (0.7282, 0.0925, 0.5463)  2 Ir 2.65, 1 Pd 2.83
Te (0.2718, 0.9075, 0.4537)  2 Ir 2.65, 1 Pd 2.83
Te (0.2718, 0.5463, 0.0925)  2 Ir 2.65, 1 Pd 2.83
Te (0.7282, 0.4537, 0.5463)  2 Ir 2.65, 1 Pd 2.83
Te (0.2493, 0.2269, 0.1135)  2 Ir 2.70, 1 Pd 2.74
Te (0.2650, 0.2124, 0.7876)  2 Ir 2.66, 1 Pd 2.82
Te (0.7350, 0.4249, 0.2124)  2 Ir 2.66, 1 Pd 2.82
Te (0.2493, 0.8865, 0.7731)  2 Ir 2.70, 1 Pd 2.74
Te (0.2718, 0.5463, 0.4537)  2 Ir 2.65, 1 Pd 2.83
Te (0.7507, 0.7731, 0.8865)  2 Ir 2.70, 1 Pd 2.74
Te (0.2650, 0.5751, 0.7876)  2 Ir 2.66, 1 Pd 2.82
Te (0.2650, 0.2124, 0.4249)  2 Ir 2.66, 1 Pd 2.82
Te (0.7350, 0.7876, 0.5751)  2 Ir 2.66, 1 Pd 2.82
Te (0.7282, 0.4537, 0.9075)  2 Ir 2.65, 1 Pd 2.83
Te (0.7507, 0.1135, 0.8865)  2 Ir 2.70, 1 Pd 2.74
Te (0.7350, 0.7876, 0.2124)  2 Ir 2.66, 1 Pd 2.82
Te (0.2493, 0.8865, 0.1135)  2 Ir 2.70, 1 Pd 2.74
Pd (0.4930, 0.3333, 0.6667)  6 Te 2.82-2.83
Pd (0.0000, 0.0000, 0.0000)  6 Te 2.74
Pd (0.5070, 0.6667, 0.3333)  6 Te 2.82-2.83
Ir (0.0000, 0.3364, 0.0000)  6 Te 2.65-2.70
Ir (0.0000, 0.3364, 0.3364)  6 Te 2.65-2.70
Ir (0.0000, 0.6636, 0.0000)  6 Te 2.65-2.70
Ir (0.0000, 0.0000, 0.6636)  6 Te 2.65-2.70
Ir (0.0000, 0.6636, 0.6636)  6 Te 2.65-2.70
Ir (0.0000, 0.0000, 0.3364)  6 Te 2.65-2.70

Calculated values
The volume is 25.51 A^3/atom. The calculation puts the density of states at the Fermi level at 14.4 states/eV/cell. For the raw formation energy, the calculation gives -0.260 eV/atom. The value obtained for the excess energy over the best structure of this formula in the dataset is 0.000 eV per atom.

Entry 2:
First-principles (PBE-GGA) data for Pm2Dy3Ni2 after structural relaxation, as listed in Alexandria.

a b c (Å): 3.6277 6.4023 9.0494
angles (deg): 115.61 90.00 106.46
Closest atoms and distances in Å follow each position.
Positions (direct):
Ni (0.8310, 0.6620, 0.7604)  5 Dy 2.79-2.95, 2 Pm 2.91
Ni (0.1690, 0.3380, 0.2396)  5 Dy 2.79-2.95, 2 Pm 2.91
Dy (0.3834, 0.7668, 0.5675)  3 Ni 2.79-2.95
Dy (0.5000, 0.0000, 0.0000)  4 Ni 2.87
Dy (0.6166, 0.2332, 0.4325)  3 Ni 2.79-2.95
Pm (0.8352, 0.6705, 0.1904)  2 Ni 2.91
Pm (0.1648, 0.3295, 0.8096)  2 Ni 2.91

Calculated values
The volume is 25.71 A^3/atom. The calculation puts the density of states at the Fermi level at 9.1 states/eV/cell. As for the energy of formation from the pure elements: -0.2354 eV/atom.

Entry 3:
First-principles (PBE-GGA) data for PmLuGaGe after structural relaxation, as listed in Alexandria.

a b c (Å): 5.0785 5.0785 5.0785
angles (deg): 60.00 60.00 60.00
Closest atoms and distances in Å follow each position.
Positions (direct):
Ge (0.7500, 0.7500, 0.7500)  4 Pm 3.11, 4 Lu 3.11
Pm (0.0000, 0.0000, 0.0000)  4 Ge 3.11, 4 Ga 3.11
Ga (0.2500, 0.2500, 0.2500)  4 Pm 3.11, 4 Lu 3.11
Lu (0.5000, 0.5000, 0.5000)  4 Ga 3.11, 4 Ge 3.11

Calculated values
The volume is 23.15 A^3/atom. The calculation puts the density of states at the Fermi level at 2.7 states/eV/cell. As for the energy of formation from the pure elements: -0.5468 eV/atom.

Entry 4:
First-principles (PBE-GGA) data for CrCdPb after structural relaxation, as listed in Alexandria.

a b c (Å): 6.7847 6.7852 3.2950
angles (deg): 75.94 75.96 28.11
Closest atoms and distances in Å follow each position.
Positions (direct):
Cr (0.3398, 0.3398, 0.6602)  4 Cd 2.94, 4 Pb 3.10, 4 Cr 3.29
Pb (0.6794, 0.6794, 0.3206)  4 Cr 3.10, 4 Pb 3.29, 4 Cd 3.44
Cd (0.9808, 0.9808, 0.0192)  4 Cr 2.94, 4 Cd 3.29

Calculated values
The volume is 23.06 A^3/atom. The calculation puts the density of states at the Fermi level at 1.1 states/eV/cell. As for the energy of formation from the pure elements: 0.4089 eV/atom. The value obtained for the excess energy over the best structure of this formula in the dataset is 0.000 eV per atom.